No. 1
Computed, not measured: PO after structural relaxation at the PBE level of DFT.

a = 4.7816 Å, b = 5.0818 Å, c = 6.2094 Å
α = 90.00°, β = 110.09°, γ = 90.00°
With the nearest neighbours (Å) after each atom.
Atoms (fractional coordinates):
P1 0.6288 0.0000 0.9241  2 O 1.69
P2 0.6288 0.5000 0.4241  2 O 1.69
P3 0.6299 0.0000 0.3083  2 O 1.68
P4 0.6299 0.5000 0.8083  2 O 1.68
O1 0.8623 0.2503 0.4278  2 P 1.68-1.69
O2 0.8623 0.7497 0.4278  2 P 1.68-1.69
O3 0.8623 0.7503 0.9278  2 P 1.68-1.69
O4 0.8623 0.2497 0.9278  2 P 1.68-1.69

Summary:
- energy above the lowest structure with this stoichiometry (kJ/mol of atoms) = 11.26



No. 2
Computed, not measured: CrOs2Ru after structural relaxation at the PBE level of DFT.

a = 2.6974 Å, b = 3.7748 Å, c = 5.3893 Å
α = 90.00°, β = 90.00°, γ = 90.00°
With the nearest neighbours (Å) after each atom.
Atoms (fractional coordinates):
Cr1 0.5000 0.5000 0.7500  8 Os 2.66, 2 Ru 2.69, 2 Cr 2.70
Os1 0.0000 0.0000 0.9904  4 Os 2.59-2.80, 4 Cr 2.66, 4 Ru 2.71
Os2 0.0000 0.0000 0.5096  4 Os 2.59-2.80, 4 Cr 2.66, 4 Ru 2.71
Ru1 0.5000 0.5000 0.2500  2 Cr 2.69, 2 Ru 2.70, 8 Os 2.71

Summary:
- energy above the lowest structure with this stoichiometry (kJ/mol of atoms) = 4.60
- ΔH_f (0 K) (meV/atom) = 114
- Fermi-level density of states (states/eV per cell) = 4.66



No. 3
Computed, not measured: Pm4ErHg2 after structural relaxation at the PBE level of DFT.

a = 7.0095 Å, b = 11.0417 Å, c = 11.1651 Å
α = 149.55°, β = 101.36°, γ = 83.83°
With the nearest neighbours (Å) after each atom.
Atoms (fractional coordinates):
Pm1 0.7495 0.0462 0.0226  3 Hg 3.20-3.47, 1 Er 3.48, 1 Pm 3.58
Pm2 0.5465 0.6695 0.2357  5 Hg 3.25-3.50, 3 Pm 3.41-3.48
Pm3 0.8468 0.4523 0.6424  4 Hg 3.07-3.36
Pm4 0.8937 0.1961 0.8665  1 Hg 3.14, 2 Er 3.34-3.51, 1 Pm 3.51
Pm5 0.2291 0.9992 0.2588  3 Pm 3.20-3.48, 4 Hg 3.25-3.51, 1 Er 3.39
Pm6 0.3774 0.0677 0.7580  3 Hg 3.24-3.48, 1 Er 3.36, 5 Pm 3.42-3.60
Pm7 0.3527 0.5821 0.7098  4 Hg 3.16-3.53, 2 Pm 3.34-3.48, 2 Er 3.53
Pm8 0.0156 0.7944 0.2984  3 Hg 3.13-3.36, 3 Pm 3.20-3.42
Er1 0.9860 0.6457 0.4890  1 Hg 3.08, 1 Pm 3.34, 1 Er 3.43
Er2 0.2435 0.1580 0.1031  1 Hg 3.04, 2 Pm 3.36-3.39
Hg1 0.5944 0.2695 0.6875  7 Pm 3.14-3.50, 2 Hg 3.14-3.33
Hg2 0.6888 0.8954 0.1623  7 Pm 3.13-3.50, 1 Hg 3.33
Hg3 0.5512 0.5875 0.4603  2 Er 3.04-3.08, 4 Pm 3.20-3.39
Hg4 0.1748 0.3864 0.8057  6 Pm 3.07-3.36, 1 Hg 3.14

Summary:
- ΔH_f (0 K) (meV/atom) = -159
- Fermi-level density of states (states/eV per cell) = 14.85



No. 4
Computed, not measured: KTc2Hg after structural relaxation at the PBE level of DFT.

a = 3.0580 Å, b = 3.0577 Å, c = 9.7070 Å
α = 71.64°, β = 90.00°, γ = 90.00°
With the nearest neighbours (Å) after each atom.
Atoms (fractional coordinates):
Hg1 0.0000 0.5474 0.4524  4 Hg 3.06, 4 Tc 3.08
K1 0.5000 0.7401 0.7599  4 K 3.06
Tc1 0.0000 0.9274 0.0728  4 Tc 2.53
Tc2 0.5000 0.2851 0.2149  4 Tc 2.53

Summary:
- ΔH_f (0 K) (meV/atom) = 463
- Fermi-level density of states (states/eV per cell) = 3.94



No. 5
Computed, not measured: Sc2NiBr after structural relaxation at the PBE level of DFT.

a = 4.7390 Å, b = 4.7390 Å, c = 4.7390 Å
α = 60.00°, β = 60.00°, γ = 60.00°
With the nearest neighbours (Å) after each atom.
Atoms (fractional coordinates):
Sc1 0.2500 0.2500 0.2500  4 Br 2.90, 4 Ni 2.90
Sc2 0.7500 0.7500 0.7500  4 Br 2.90, 4 Ni 2.90
Ni1 0.0000 0.0000 0.0000  8 Sc 2.90
Br1 0.5000 0.5000 0.5000  8 Sc 2.90

Summary:
- energy above the lowest structure with this stoichiometry (kJ/mol of atoms) = 45.99
- Fermi-level density of states (states/eV per cell) = 5.63



No. 6
Computed, not measured: CrRu4 after structural relaxation at the PBE level of DFT.

a = 4.3587 Å, b = 4.3587 Å, c = 4.3587 Å
α = 90.00°, β = 90.00°, γ = 90.00°
With the nearest neighbours (Å) after each atom.
Atoms (fractional coordinates):
Cr1 0.5000 0.5000 0.5000  6 Ru 2.18
Ru1 0.0000 0.0000 0.0000  12 Ru 3.08
Ru2 0.5000 0.0000 0.5000  2 Cr 2.18
Ru3 0.0000 0.5000 0.5000  2 Cr 2.18
Ru4 0.5000 0.5000 0.0000  2 Cr 2.18

Summary:
- energy above the lowest structure with this stoichiometry (kJ/mol of atoms) = 128.35
- ΔH_f (0 K) (meV/atom) = 1439
- Fermi-level density of states (states/eV per cell) = 8.04



No. 7
Computed, not measured: LiIn3 after structural relaxation at the PBE level of DFT.

a = 9.8255 Å, b = 9.8254 Å, c = 9.8254 Å
α = 19.84°, β = 19.84°, γ = 19.84°
With the nearest neighbours (Å) after each atom.
Atoms (fractional coordinates):
In1 0.7440 0.7440 0.7440  3 Li 2.97, 3 In 3.24
In2 0.5000 0.5000 0.5000  12 In 3.24-3.39
In3 0.2560 0.2560 0.2560  3 Li 2.97, 3 In 3.24
Li1 0.0000 0.0000 0.0000  6 In 2.97

Summary:
- ΔH_f (0 K) (meV/atom) = -115
- Fermi-level density of states (states/eV per cell) = 1.26



No. 8
Computed, not measured: Rb2ZnCd12Ag3 after structural relaxation at the PBE level of DFT.

a = 9.0960 Å, b = 9.0960 Å, c = 9.0960 Å
α = 64.12°, β = 64.12°, γ = 64.12°
With the nearest neighbours (Å) after each atom.
Atoms (fractional coordinates):
Rb1 0.5941 0.5941 0.5941  6 Cd 3.76-3.77, 1 Rb 4.06
Rb2 0.4059 0.4059 0.4059  6 Cd 3.76-3.77, 1 Rb 4.06
Zn1 0.0000 0.0000 0.0000  6 Cd 2.72
Cd1 0.3424 0.3424 0.0063  2 Ag 2.82, 2 Cd 2.98
Cd2 0.8792 0.8792 0.3475  1 Zn 2.72, 1 Ag 2.84, 4 Cd 2.98-3.02
Cd3 0.3475 0.8792 0.8792  1 Zn 2.72, 1 Ag 2.84, 4 Cd 2.98-3.02
Cd4 0.0063 0.3424 0.3424  2 Ag 2.82, 2 Cd 2.98
Cd5 0.8792 0.3475 0.8792  1 Zn 2.72, 1 Ag 2.84, 4 Cd 2.98-3.02
Cd6 0.3424 0.0063 0.3424  2 Ag 2.82, 2 Cd 2.98
Cd7 0.6576 0.6576 0.9937  2 Ag 2.82, 2 Cd 2.98
Cd8 0.1208 0.1208 0.6525  1 Zn 2.72, 1 Ag 2.84, 4 Cd 2.98-3.02
Cd9 0.6525 0.1208 0.1208  1 Zn 2.72, 1 Ag 2.84, 4 Cd 2.98-3.02
Cd10 0.9937 0.6576 0.6576  2 Ag 2.82, 2 Cd 2.98
Cd11 0.1208 0.6525 0.1208  1 Zn 2.72, 1 Ag 2.84, 4 Cd 2.98-3.02
Cd12 0.6576 0.9937 0.6576  2 Ag 2.82, 2 Cd 2.98
Ag1 0.5000 0.0000 0.0000  6 Cd 2.82-2.84
Ag2 0.0000 0.5000 0.0000  6 Cd 2.82-2.84
Ag3 0.0000 0.0000 0.5000  6 Cd 2.82-2.84

Summary:
- ΔH_f (0 K) (meV/atom) = 147
- Fermi-level density of states (states/eV per cell) = 5.99



No. 9
Computed, not measured: SmHo4Ir4 after structural relaxation at the PBE level of DFT.

a = 5.6360 Å, b = 8.9062 Å, c = 8.9062 Å
α = 90.00°, β = 90.00°, γ = 90.00°
With the nearest neighbours (Å) after each atom.
Atoms (fractional coordinates):
Sm1 0.0000 0.0000 0.0000  4 Ir 2.85
Sm2 0.5000 0.5000 0.5000  4 Ir 2.85
Ho1 0.3916 0.3311 0.9075  5 Ir 2.78-2.91
Ho2 0.8916 0.5925 0.8311  5 Ir 2.78-2.91
Ho3 0.3916 0.6689 0.0925  5 Ir 2.78-2.91
Ho4 0.1084 0.1689 0.5925  5 Ir 2.78-2.91
Ho5 0.6084 0.9075 0.6689  5 Ir 2.78-2.91
Ho6 0.1084 0.8311 0.4075  5 Ir 2.78-2.91
Ho7 0.8916 0.4075 0.1689  5 Ir 2.78-2.91
Ho8 0.6084 0.0925 0.3311  5 Ir 2.78-2.91
Ir1 0.6073 0.7824 0.3665  1 Ir 2.69, 5 Ho 2.78-2.91, 1 Sm 2.85
Ir2 0.6073 0.2176 0.6335  1 Ir 2.69, 5 Ho 2.78-2.91, 1 Sm 2.85
Ir3 0.1073 0.8665 0.7176  1 Ir 2.69, 5 Ho 2.78-2.91, 1 Sm 2.85
Ir4 0.8927 0.2824 0.8665  1 Ir 2.69, 5 Ho 2.78-2.91, 1 Sm 2.85
Ir5 0.8927 0.7176 0.1335  1 Ir 2.69, 5 Ho 2.78-2.91, 1 Sm 2.85
Ir6 0.3927 0.3665 0.2176  1 Ir 2.69, 5 Ho 2.78-2.91, 1 Sm 2.85
Ir7 0.3927 0.6335 0.7824  1 Ir 2.69, 5 Ho 2.78-2.91, 1 Sm 2.85
Ir8 0.1073 0.1335 0.2824  1 Ir 2.69, 5 Ho 2.78-2.91, 1 Sm 2.85

Summary:
- ΔH_f (0 K) (meV/atom) = -646
- Fermi-level density of states (states/eV per cell) = 10.29



No. 10
Computed, not measured: BaNa3 after structural relaxation at the PBE level of DFT.

a = 7.4424 Å, b = 9.2604 Å, c = 10.4176 Å
α = 90.00°, β = 90.00°, γ = 90.00°
With the nearest neighbours (Å) after each atom.
Atoms (fractional coordinates):
Ba1 0.3755 0.2500 0.0342  9 Na 3.93-4.26
Ba2 0.8755 0.7500 0.4658  9 Na 3.93-4.26
Ba3 0.1245 0.2500 0.5342  9 Na 3.93-4.26
Ba4 0.6245 0.7500 0.9658  9 Na 3.93-4.26
Na1 0.1359 0.7500 0.1075  6 Na 3.43-3.53
Na2 0.6003 0.0559 0.6828  4 Na 3.43-3.59
Na3 0.6003 0.4441 0.6828  4 Na 3.43-3.59
Na4 0.1003 0.5559 0.8172  4 Na 3.43-3.59
Na5 0.1003 0.9441 0.8172  4 Na 3.43-3.59
Na6 0.6359 0.2500 0.3925  6 Na 3.43-3.53
Na7 0.3641 0.7500 0.6075  6 Na 3.43-3.53
Na8 0.8997 0.0559 0.1828  4 Na 3.43-3.59
Na9 0.8997 0.4441 0.1828  4 Na 3.43-3.59
Na10 0.3997 0.5559 0.3172  4 Na 3.43-3.59
Na11 0.3997 0.9441 0.3172  4 Na 3.43-3.59
Na12 0.8641 0.2500 0.8925  6 Na 3.43-3.53

Summary:
- ΔH_f (0 K) (meV/atom) = 23
- Fermi-level density of states (states/eV per cell) = 13.16



No. 11
Computed, not measured: Te5Se3 after structural relaxation at the PBE level of DFT.

a = 9.2674 Å, b = 9.2674 Å, c = 4.1498 Å
α = 90.00°, β = 90.00°, γ = 129.31°
With the nearest neighbours (Å) after each atom.
Atoms (fractional coordinates):
Te1 0.0000 0.0000 0.0000  4 Te 2.93
Te2 0.0000 0.5000 0.0000  4 Se 2.87
Te3 0.5000 0.0000 0.0000  4 Se 2.87
Te4 0.2612 0.2612 0.5000  2 Se 2.81, 2 Te 2.93
Te5 0.7388 0.7388 0.5000  2 Se 2.81, 2 Te 2.93
Se1 0.5000 0.5000 0.0000  4 Te 2.81
Se2 0.7471 0.2529 0.5000  4 Te 2.87
Se3 0.2529 0.7471 0.5000  4 Te 2.87

Summary:
- energy above the lowest structure with this stoichiometry (kJ/mol of atoms) = 0.00
- Fermi-level density of states (states/eV per cell) = 5.82



No. 12
Computed, not measured: HoLuNiPt after structural relaxation at the PBE level of DFT.

a = 4.8113 Å, b = 4.8113 Å, c = 4.8113 Å
α = 60.00°, β = 60.00°, γ = 60.00°
With the nearest neighbours (Å) after each atom.
Atoms (fractional coordinates):
Ni1 0.7500 0.7500 0.7500  4 Ho 2.95, 4 Lu 2.95
Lu1 0.5000 0.5000 0.5000  4 Pt 2.95, 4 Ni 2.95
Ho1 0.0000 0.0000 0.0000  4 Ni 2.95, 4 Pt 2.95
Pt1 0.2500 0.2500 0.2500  4 Lu 2.95, 4 Ho 2.95

Summary:
- ΔH_f (0 K) (meV/atom) = -870
- Fermi-level density of states (states/eV per cell) = 2.98